[1]
First-principles (GGA-PBE) data for Li3Ce2NiS6 after structural relaxation, as listed in the Alexandria database.

a = 6.6343 Å, b = 6.6343 Å, c = 6.5231 Å
α = 99.57°, β = 99.57°, γ = 120.02°
Last column: nearest neighbours and their distance in Å.
Atoms (fractional coordinates):
Li: 0.5000 0.5000 0.5000  6 S 2.64-2.86
Li: 0.1583 0.8417 0.5000  6 S 2.60-2.88
Li: 0.8417 0.1583 0.5000  6 S 2.60-2.88
S: 0.7722 0.7722 0.2403  1 Ni 2.51, 2 Li 2.60, 2 Ce 2.75
S: 0.6042 0.9159 0.7492  1 Ni 2.59, 3 Li 2.63-2.88, 2 Ce 2.75
S: 0.9159 0.6042 0.7492  1 Ni 2.59, 3 Li 2.63-2.88, 2 Ce 2.75
S: 0.2278 0.2278 0.7597  1 Ni 2.51, 2 Li 2.60, 2 Ce 2.75
S: 0.0841 0.3958 0.2508  1 Ni 2.59, 3 Li 2.63-2.88, 2 Ce 2.75
S: 0.3958 0.0841 0.2508  1 Ni 2.59, 3 Li 2.63-2.88, 2 Ce 2.75
Ce: 0.3319 0.6681 0.0000  6 S 2.75
Ce: 0.6681 0.3319 0.0000  6 S 2.75
Ni: 0.0000 0.0000 0.0000  6 S 2.51-2.59

Computed properties:
For the raw formation energy, the calculation gives -1553 kJ/mol of formula units.

[2]
First-principles (GGA-PBE) data for Li4Ce3NiS8 after structural relaxation, as listed in the Alexandria database.

a = 7.6594 Å, b = 7.5152 Å, c = 7.9639 Å
α = 120.04°, β = 118.74°, γ = 90.00°
Last column: nearest neighbours and their distance in Å.
Atoms (fractional coordinates):
Ce: 0.5000 0.5000 0.5000  6 S 2.74-2.82
Ce: 0.0000 0.5000 0.5000  6 S 2.74-2.82
Ce: 0.5000 0.5000 0.0000  6 S 2.78-2.81
S: 0.2044 0.7167 0.9863  1 Ni 2.34
S: 0.7956 0.2833 0.0137  1 Ni 2.34
S: 0.7101 0.2035 0.4202  3 Li 2.41-2.70
S: 0.2545 0.2387 0.5091  2 Li 2.60, 3 Ce 2.77-2.81
S: 0.7818 0.7167 0.9863  1 Ni 2.34
S: 0.2899 0.7965 0.5798  3 Li 2.41-2.70
S: 0.2182 0.2833 0.0137  1 Ni 2.34
S: 0.7455 0.7613 0.4909  2 Li 2.60, 3 Ce 2.77-2.81
Li: 0.5000 0.0000 0.0000  2 S 2.41
Li: 0.0000 0.0000 0.0000  6 S 2.63-2.93
Li: 0.5000 0.0000 0.5000  4 S 2.60-2.70
Li: 0.0000 0.0000 0.5000  4 S 2.60-2.70
Ni: 0.0000 0.5000 0.0000  4 S 2.34

Computed properties:
For the raw formation energy, the calculation gives -2215 kJ/mol of formula units.

[3]
First-principles (GGA-PBE) data for LiCe2NiS5 after structural relaxation, as listed in the Alexandria database.

a = 3.8101 Å, b = 8.1744 Å, c = 11.3682 Å
α = 90.00°, β = 90.00°, γ = 103.48°
Last column: nearest neighbours and their distance in Å.
Atoms (fractional coordinates):
Ni: 0.5528 0.1056 0.9218  4 S 2.18-2.23
Ni: 0.4472 0.8944 0.4218  4 S 2.18-2.23
S: 0.3369 0.6737 0.0214  1 Li 2.51
S: 0.9861 0.9722 0.5069  2 Ni 2.22
S: 0.6865 0.3731 0.8613  1 Ni 2.23
S: 0.5015 0.0030 0.2459  1 Ni 2.18
S: 0.4985 0.9970 0.7459  1 Ni 2.18
S: 0.3135 0.6269 0.3613  1 Ni 2.23
S: 0.3083 0.6166 0.6907  2 Li 2.63, 3 Ce 2.80-2.87
S: 0.0139 0.0278 0.0069  2 Ni 2.22
S: 0.6631 0.3263 0.5214  1 Li 2.51
S: 0.6917 0.3834 0.1907  2 Li 2.63, 3 Ce 2.80-2.87
Li: 0.1793 0.3586 0.0321  6 S 2.51-2.72
Li: 0.8207 0.6414 0.5321  6 S 2.51-2.72
Ce: 0.1278 0.2556 0.7007  7 S 2.80-2.87
Ce: 0.8779 0.7559 0.8432  8 S 2.80-3.05
Ce: 0.1221 0.2441 0.3432  8 S 2.80-3.05
Ce: 0.8722 0.7444 0.2007  7 S 2.80-2.87

Computed properties:
For the raw formation energy, the calculation gives -1258 kJ/mol of formula units.

[4]
First-principles (GGA-PBE) data for LiCeNiSb after structural relaxation, as listed in the Alexandria database.

a = 4.7071 Å, b = 4.7071 Å, c = 4.7071 Å
α = 60.00°, β = 60.00°, γ = 60.00°
Last column: nearest neighbours and their distance in Å.
Atoms (fractional coordinates):
Li: 0.7500 0.7500 0.7500  4 Sb 2.88, 4 Ce 2.88
Ni: 0.2500 0.2500 0.2500  4 Ce 2.88, 4 Sb 2.88
Ce: 0.5000 0.5000 0.5000  4 Li 2.88, 4 Ni 2.88
Sb: 0.0000 0.0000 0.0000  4 Ni 2.88, 4 Li 2.88

Computed properties:
For the raw formation energy, the calculation gives -194 kJ/mol of formula units.

[5]
First-principles (GGA-PBE) data for Li3Ce2NiSe6 after structural relaxation, as listed in the Alexandria database.

a = 6.9266 Å, b = 6.9266 Å, c = 6.8515 Å
α = 99.65°, β = 99.65°, γ = 120.00°
Last column: nearest neighbours and their distance in Å.
Atoms (fractional coordinates):
Ni: 0.0000 0.0000 0.0000  6 Se 2.63-2.69
Se: 0.9153 0.6057 0.7480  1 Ni 2.69, 3 Li 2.75-2.97, 2 Ce 2.89
Se: 0.6057 0.9153 0.7480  1 Ni 2.69, 3 Li 2.75-2.97, 2 Ce 2.89
Se: 0.0847 0.3943 0.2520  1 Ni 2.69, 3 Li 2.75-2.97, 2 Ce 2.89
Se: 0.2244 0.2244 0.7573  1 Ni 2.63, 2 Li 2.75, 2 Ce 2.89
Se: 0.3943 0.0847 0.2520  1 Ni 2.69, 3 Li 2.75-2.97, 2 Ce 2.89
Se: 0.7756 0.7756 0.2427  1 Ni 2.63, 2 Li 2.75, 2 Ce 2.89
Ce: 0.3324 0.6676 0.0000  6 Se 2.89
Ce: 0.6676 0.3324 0.0000  6 Se 2.89
Li: 0.8360 0.1640 0.5000  6 Se 2.75-2.97
Li: 0.1640 0.8360 0.5000  6 Se 2.75-2.97
Li: 0.5000 0.5000 0.5000  6 Se 2.75-3.00

Computed properties:
For the raw formation energy, the calculation gives -1423 kJ/mol of formula units.

[6]
First-principles (GGA-PBE) data for LiCe2Si3Ni4 after structural relaxation, as listed in the Alexandria database.

a = 4.0184 Å, b = 4.0184 Å, c = 9.5617 Å
α = 90.00°, β = 90.00°, γ = 90.00°
Last column: nearest neighbours and their distance in Å.
Atoms (fractional coordinates):
Ce: 0.0000 0.5000 0.7520  8 Ni 3.07-3.11, 6 Si 3.07-3.14, 2 Li 3.14
Ce: 0.5000 0.0000 0.2480  8 Ni 3.07-3.11, 6 Si 3.07-3.14, 2 Li 3.14
Si: 0.5000 0.0000 0.8744  5 Ni 2.32-2.34
Si: 0.0000 0.5000 0.1256  5 Ni 2.32-2.34
Si: 0.0000 0.0000 0.5000  4 Ni 2.37
Ni: 0.5000 0.5000 0.0000  4 Si 2.34
Ni: 0.5000 0.0000 0.6318  3 Si 2.32-2.37, 2 Li 2.37
Ni: 0.0000 0.5000 0.3682  3 Si 2.32-2.37, 2 Li 2.37
Ni: 0.0000 0.0000 0.0000  4 Si 2.34
Li: 0.5000 0.5000 0.5000  4 Ni 2.37

Computed properties:
For the raw formation energy, the calculation gives -655 kJ/mol of formula units.

[7]
First-principles (GGA-PBE) data for LiCeSiNi after structural relaxation, as listed in the Alexandria database.

a = 4.4950 Å, b = 4.4950 Å, c = 4.4950 Å
α = 60.00°, β = 60.00°, γ = 60.00°
Last column: nearest neighbours and their distance in Å.
Atoms (fractional coordinates):
Ce: 0.2500 0.2500 0.2500  4 Li 2.75, 4 Ni 2.75
Ni: 0.0000 0.0000 0.0000  4 Si 2.75, 4 Ce 2.75
Si: 0.7500 0.7500 0.7500  4 Ni 2.75, 4 Li 2.75
Li: 0.5000 0.5000 0.5000  4 Ce 2.75, 4 Si 2.75

Computed properties:
For the raw formation energy, the calculation gives -157 kJ/mol of formula units.

[8]
First-principles (GGA-PBE) data for LiCeNiSn after structural relaxation, as listed in the Alexandria database.

a = 4.7246 Å, b = 4.7246 Å, c = 4.7246 Å
α = 60.00°, β = 60.00°, γ = 60.00°
Last column: nearest neighbours and their distance in Å.
Atoms (fractional coordinates):
Ni: 0.5000 0.5000 0.5000  4 Sn 2.89, 4 Ce 2.89
Li: 0.0000 0.0000 0.0000  4 Sn 2.89, 4 Ce 2.89
Sn: 0.2500 0.2500 0.2500  4 Li 2.89, 4 Ni 2.89
Ce: 0.7500 0.7500 0.7500  4 Li 2.89, 4 Ni 2.89

Computed properties:
The formation energy is -474 meV/atom.

[9]
First-principles (GGA-PBE) data for LiTbCeNi after structural relaxation, as listed in the Alexandria database.

a = 4.9592 Å, b = 4.9592 Å, c = 4.9592 Å
α = 60.00°, β = 60.00°, γ = 60.00°
Last column: nearest neighbours and their distance in Å.
Atoms (fractional coordinates):
Tb: 0.0000 0.0000 0.0000  4 Li 3.04, 4 Ni 3.04
Ce: 0.5000 0.5000 0.5000  4 Li 3.04, 4 Ni 3.04
Li: 0.2500 0.2500 0.2500  4 Ce 3.04, 4 Tb 3.04
Ni: 0.7500 0.7500 0.7500  4 Ce 3.04, 4 Tb 3.04

Computed properties:
The formation energy is -16 meV/atom.

[10]
First-principles (GGA-PBE) data for LiCeYNi after structural relaxation, as listed in the Alexandria database.

a = 4.9638 Å, b = 4.9638 Å, c = 4.9638 Å
α = 60.00°, β = 60.00°, γ = 60.00°
Last column: nearest neighbours and their distance in Å.
Atoms (fractional coordinates):
Li: 0.5000 0.5000 0.5000  4 Ce 3.04, 4 Y 3.04
Ni: 0.0000 0.0000 0.0000  4 Y 3.04, 4 Ce 3.04
Ce: 0.2500 0.2500 0.2500  4 Li 3.04, 4 Ni 3.04
Y: 0.7500 0.7500 0.7500  4 Li 3.04, 4 Ni 3.04

Computed properties:
The formation energy is -18 meV/atom.

[11]
First-principles (GGA-PBE) data for LiCeNpOs after structural relaxation, as listed in the Alexandria database.

a = 4.6712 Å, b = 4.6712 Å, c = 4.6712 Å
α = 60.00°, β = 60.00°, γ = 60.00°
Last column: nearest neighbours and their distance in Å.
Atoms (fractional coordinates):
Np: 0.5000 0.5000 0.5000  4 Ce 2.86, 4 Os 2.86
Ce: 0.2500 0.2500 0.2500  4 Li 2.86, 4 Np 2.86
Os: 0.7500 0.7500 0.7500  4 Li 2.86, 4 Np 2.86
Li: 0.0000 0.0000 0.0000  4 Os 2.86, 4 Ce 2.86

Computed properties:
The formation energy is 82 meV/atom.

[12]
First-principles (GGA-PBE) data for LiCeNpPt after structural relaxation, as listed in the Alexandria database.

a = 4.7681 Å, b = 4.7681 Å, c = 4.7681 Å
α = 60.00°, β = 60.00°, γ = 60.00°
Last column: nearest neighbours and their distance in Å.
Atoms (fractional coordinates):
Ce: 0.2500 0.2500 0.2500  4 Li 2.92, 4 Np 2.92
Li: 0.0000 0.0000 0.0000  4 Pt 2.92, 4 Ce 2.92
Pt: 0.7500 0.7500 0.7500  4 Np 2.92, 4 Li 2.92
Np: 0.5000 0.5000 0.5000  4 Ce 2.92, 4 Pt 2.92

Computed properties:
The formation energy is -359 meV/atom.

| no. | V (Å³ per cell) |
| --- | --- |
| 1 | 234.43 |
| 2 | 329.96 |
| 3 | 344.32 |
| 4 | 73.75 |
| 5 | 268.24 |
| 6 | 154.40 |
| 7 | 64.22 |
| 8 | 74.57 |
| 9 | 86.24 |
| 10 | 86.48 |
| 11 | 72.07 |
| 12 | 76.65 |